This record from Alexandria via LeMat-Bulk describes a relaxed structure of TaSnCl2. The functional is PBE-GGA.

a = 6.786 Å, b = 6.786 Å, c = 6.786 Å
α = 90.00°, β = 90.00°, γ = 90.00°
Fractional positions:
Ta 0.000 0.000 0.000
Ta 0.000 0.500 0.500
Ta 0.500 0.000 0.500
Ta 0.500 0.500 0.000
Sn 0.000 0.000 0.500
Sn 0.000 0.500 0.000
Sn 0.500 0.000 0.000
Sn 0.500 0.500 0.500
Cl 0.250 0.250 0.250
Cl 0.250 0.250 0.750
Cl 0.250 0.750 0.250
Cl 0.250 0.750 0.750
Cl 0.750 0.250 0.250
Cl 0.750 0.250 0.750
Cl 0.750 0.750 0.250
Cl 0.750 0.750 0.750

## Properties
* E_tot: -4.343 eV per atom
* space group: Fm-3m (225)
* formation energy without anion corrections: 0.54 eV per atom